(i)
VASP calculation (GGA-PBEsol) on an optimized crystal structure of Mg2TeSe.

- Space-group type: C2/m (12)
- Crystal system: monoclinic
- Calculated density: 3861 kg/m³
- Magnetic moment: 0.00 μB/atom

a = 4.1833 Å, b = 5.4633 Å, c = 5.4633 Å
α = 87.61°, β = 69.93°, γ = 69.93°
Last column: nearest neighbours and their distance in Å.
Fractional positions:
1 Mg 0.0000 0.5000 0.0000  2 Se 2.73, 2 Te 2.73
2 Mg 0.0000 0.0000 0.5000  2 Te 2.73, 2 Se 2.73
3 Te 0.0000 0.0000 0.0000  4 Mg 2.73
4 Se 0.0000 0.5000 0.5000  4 Mg 2.73

(ii)
VASP calculation (GGA-PBEsol) on an optimized crystal structure of Mg2TeSe.

- Space-group type: R-3m (166)
- Crystal system: trigonal
- Calculated density: 4606 kg/m³
- Magnetic moment: 0.00 μB/atom

a = 4.0209 Å, b = 4.0209 Å, c = 6.9687 Å
α = 73.23°, β = 73.23°, γ = 60.00°
Last column: nearest neighbours and their distance in Å.
Fractional positions:
1 Se 0.5000 0.5000 0.5000  6 Mg 2.78
2 Mg 0.7557 0.7557 0.7330  3 Se 2.78, 3 Te 2.91
3 Mg 0.2443 0.2443 0.2670  3 Se 2.78, 3 Te 2.91
4 Te 0.0000 0.0000 0.0000  6 Mg 2.91

(iii)
VASP calculation (GGA-PBEsol) on an optimized crystal structure of Mg2TeSe.

- Space-group type: I-42d (122)
- Crystal system: tetragonal
- Calculated density: 3578 kg/m³
- Magnetic moment: 0.00 μB/atom

a = 6.1992 Å, b = 6.1992 Å, c = 7.5626 Å
α = 114.20°, β = 114.20°, γ = 90.00°
Last column: nearest neighbours and their distance in Å.
Fractional positions:
1 Mg 0.1250 0.1519 0.7500  2 Se 2.59, 2 Te 2.78
2 Mg 0.4019 0.8750 0.2500  2 Se 2.59, 2 Te 2.78
3 Mg 0.8481 0.3750 0.2500  2 Se 2.59, 2 Te 2.78
4 Mg 0.6250 0.5981 0.7500  2 Se 2.59, 2 Te 2.78
5 Te 0.2500 0.7500 0.5000  4 Mg 2.78
6 Te 0.0000 0.0000 0.0000  4 Mg 2.78
7 Se 0.7500 0.2500 0.5000  4 Mg 2.59
8 Se 0.5000 0.5000 0.0000  4 Mg 2.59

Need the numbers? Relative energies in meV/atom: (i) 404; (ii) 0; (iii) 6.